[1]
CaIr4Pb | GGA-PBE | optimized geometry

Cell and atoms, written as POSCAR:
```
CaIr4Pb
1.0
-0.637 -4.394 3.048
0.629 0.312 5.340
-4.277 -0.430 3.245
Ir Pb Ca
4 1 1
Direct
0.375 0.375 0.375
0.875 0.375 0.375
0.375 0.875 0.375
0.375 0.375 0.875
0.750 0.750 0.750
0.000 0.000 0.000
```

Values from the calculation:
calculated formation energy: -50 meV per atom
ρ: 15.28 g/cm3
magnetic moment: 0.00 μB/f.u.

[2]
CaIr2Pb | GGA-PBE | optimized geometry

Cell and atoms, written as POSCAR:
```
CaIr2Pb
1.0
3.275 0.000 0.000
0.000 3.275 0.000
0.000 0.000 7.328
Pb Ir Ca
1 2 1
Direct
0.500 0.500 0.250
0.000 0.000 0.478
0.000 0.000 0.022
0.500 0.500 0.750
```

Values from the calculation:
calculated formation energy: 173 meV per atom
ρ: 13.35 g/cm3
magnetic moment: 0.00 μB/f.u.

[3]
Ca4IrPb | GGA-PBE | optimized geometry

Cell and atoms, written as POSCAR:
```
Ca4IrPb
1.0
-1.957 -5.176 -2.707
7.791 -2.057 2.292
-5.325 0.741 6.425
Ca Pb Ir
8 2 2
Direct
0.062 0.947 0.277
0.157 0.348 0.215
0.562 0.277 0.947
0.657 0.215 0.348
0.438 0.723 0.053
0.343 0.785 0.652
0.938 0.053 0.723
0.843 0.652 0.785
0.750 0.635 0.365
0.250 0.365 0.635
0.250 0.999 0.001
0.750 0.001 0.999
```

Values from the calculation:
calculated formation energy: -439 meV per atom
ρ: 5.09 g/cm3
magnetic moment: 0.00 μB/f.u.

[4]
CaIr2Pb | GGA-PBE | optimized geometry

Cell and atoms, written as POSCAR:
```
CaIr2Pb
1.0
-0.418 0.010 3.326
-1.217 -3.121 -0.146
7.102 -2.811 0.902
Ca Ir Pb
1 2 1
Direct
0.500 0.500 0.798
0.500 0.500 0.201
0.000 0.000 0.053
0.000 0.000 0.448
```

Values from the calculation:
calculated formation energy: 123 meV per atom
ρ: 12.13 g/cm3
magnetic moment: 0.00 μB/f.u.

[5]
CaIr2Pb | GGA-PBE | optimized geometry

Cell and atoms, written as POSCAR:
```
CaIr2Pb
1.0
-1.642 8.553 2.671
-4.081 8.122 0.598
-4.361 7.115 3.653
Ca Ir Pb
1 2 1
Direct
0.750 0.750 0.750
0.502 0.502 0.502
0.998 0.998 0.998
0.250 0.250 0.250
```

Values from the calculation:
calculated formation energy: 422 meV per atom
ρ: 13.03 g/cm3
magnetic moment: 0.00 μB/f.u.

[6]
CaIr2Pb | GGA-PBE | optimized geometry

Cell and atoms, written as POSCAR:
```
CaIr2Pb
1.0
3.816 0.000 0.000
0.000 4.449 0.000
0.000 0.000 4.449
Ir Pb Ca
2 1 1
Direct
0.000 0.500 0.500
0.000 0.000 0.000
0.500 0.500 0.000
0.500 0.000 0.500
```

Values from the calculation:
calculated formation energy: 36 meV per atom
ρ: 13.89 g/cm3
magnetic moment: 0.00 μB/f.u.

[7]
Ca4IrPb | GGA-PBE | optimized geometry

Cell and atoms, written as POSCAR:
```
Ca4IrPb
1.0
0.000 4.348 4.348
4.348 0.000 4.348
4.348 4.348 0.000
Ca Ir Pb
4 1 1
Direct
0.376 0.376 0.871
0.871 0.376 0.376
0.376 0.376 0.376
0.376 0.871 0.376
0.750 0.750 0.750
0.000 0.000 0.000
```

Values from the calculation:
calculated formation energy: 516 meV per atom
ρ: 5.65 g/cm3
magnetic moment: 0.35 μB/f.u.

[8]
CaIr2Pb | GGA-PBE | optimized geometry

Cell and atoms, written as POSCAR:
```
CaIr2Pb
1.0
-0.258 3.549 3.213
1.427 -0.746 4.516
4.013 2.065 1.618
Ir Ca Pb
2 1 1
Direct
0.000 0.000 0.000
0.250 0.250 0.250
0.500 0.500 0.500
0.750 0.750 0.750
```

Values from the calculation:
calculated formation energy: 296 meV per atom
ρ: 13.46 g/cm3
magnetic moment: 0.00 μB/f.u.

[9]
CaIr2Pb | GGA-PBE | optimized geometry

Cell and atoms, written as POSCAR:
```
CaIr2Pb
1.0
-2.691 -0.659 4.000
3.710 -2.915 1.189
1.506 2.498 1.425
Ir Pb Ca
2 1 1
Direct
0.000 0.000 0.000
0.500 0.500 0.000
0.500 0.000 0.500
0.000 0.500 0.500
```

Values from the calculation:
calculated formation energy: 108 meV per atom
ρ: 13.78 g/cm3
magnetic moment: 0.00 μB/f.u.

[10]
Ca2Ir2Pb | GGA-PBE | optimized geometry

Cell and atoms, written as POSCAR:
```
Ca2Ir2Pb
1.0
-0.200 4.911 4.796
2.151 6.455 -0.927
-3.895 -4.850 -2.909
Ir Pb Ca
2 1 2
Direct
0.399 0.399 0.000
0.601 0.601 0.000
0.000 0.000 0.000
0.750 0.250 0.500
0.250 0.750 0.500
```

Values from the calculation:
calculated formation energy: 257 meV per atom
ρ: 9.02 g/cm3
magnetic moment: 0.00 μB/f.u.

[11]
Ca2IrPb2 | GGA-PBE | optimized geometry

Cell and atoms, written as POSCAR:
```
Ca2IrPb2
1.0
7.331 0.000 0.000
0.000 7.331 0.000
0.000 0.000 4.899
Ir Ca Pb
2 4 4
Direct
0.500 0.500 0.000
0.000 0.000 0.000
0.329 0.171 0.500
0.829 0.329 0.500
0.171 0.671 0.500
0.671 0.829 0.500
0.854 0.646 0.000
0.354 0.854 0.000
0.146 0.354 0.000
0.646 0.146 0.000
```

Values from the calculation:
calculated formation energy: -251 meV per atom
ρ: 8.66 g/cm3
magnetic moment: 0.00 μB/f.u.

[12]
CaIr2Pb | GGA-PBE | optimized geometry

Cell and atoms, written as POSCAR:
```
CaIr2Pb
1.0
7.667 0.000 0.000
0.000 7.667 0.000
3.833 3.833 2.984
Ir Pb Ca
4 2 2
Direct
0.095 0.625 0.250
0.875 0.905 0.750
0.655 0.125 0.250
0.375 0.345 0.750
0.750 0.250 0.500
0.000 0.000 0.000
0.500 0.500 0.000
0.250 0.750 0.500
```

Values from the calculation:
calculated formation energy: 495 meV per atom
ρ: 11.96 g/cm3
magnetic moment: 0.00 μB/f.u.

Copy entry 4 word for word.
CaIr2Pb | GGA-PBE | optimized geometry

Cell and atoms, written as POSCAR:
```
CaIr2Pb
1.0
-0.418 0.010 3.326
-1.217 -3.121 -0.146
7.102 -2.811 0.902
Ca Ir Pb
1 2 1
Direct
0.500 0.500 0.798
0.500 0.500 0.201
0.000 0.000 0.053
0.000 0.000 0.448
```

Values from the calculation:
calculated formation energy: 123 meV per atom
ρ: 12.13 g/cm3
magnetic moment: 0.00 μB/f.u.